i | # Y2SbRu2 | Alexandria via LeMat-Bulk | GGA-PBE | optimized geometry
data_Y2SbRu2
_chemical_formula_sum 'Y4 Sb2 Ru4'
_symmetry_space_group_name_H-M 'P 4/m b m'
_symmetry_Int_Tables_number 127
_symmetry_space_group_name_Hall '-P 4 2ab'
_cell_length_a 6.972
_cell_length_b 6.972
_cell_length_c 4.434
_cell_angle_alpha 90.00
_cell_angle_beta 90.00
_cell_angle_gamma 90.00
loop_
_atom_site_label
_atom_site_type_symbol
_atom_site_fract_x
_atom_site_fract_y
_atom_site_fract_z
_atom_site_occupancy
Y1 Y 0.179 0.321 0.000 1
Sb1 Sb 0.000 0.000 0.500 1
Ru1 Ru 0.123 0.623 0.500 1
# * calculated volume: 107.8 Å³/f.u.



ii | # Y2SbRu2 | Alexandria via LeMat-Bulk | GGA-PBE | optimized geometry
data_Y2SbRu2
_chemical_formula_sum 'Y4 Sb2 Ru4'
_symmetry_space_group_name_H-M 'I 4/m m m'
_symmetry_Int_Tables_number 139
_symmetry_space_group_name_Hall '-I 4 2'
_cell_length_a 3.664
_cell_length_b 3.664
_cell_length_c 17.161
_cell_angle_alpha 90.00
_cell_angle_beta 90.00
_cell_angle_gamma 90.00
loop_
_atom_site_label
_atom_site_type_symbol
_atom_site_fract_x
_atom_site_fract_y
_atom_site_fract_z
_atom_site_occupancy
Y1 Y 0.000 0.000 0.114 1
Sb1 Sb 0.000 0.000 0.500 1
Ru1 Ru 0.000 0.500 0.250 1
# * calculated volume: 115.2 Å³/f.u.



iii | # Y2SbRu2 | Alexandria via LeMat-Bulk | GGA-PBE | optimized geometry
data_Y2SbRu2
_chemical_formula_sum 'Y4 Sb2 Ru4'
_symmetry_space_group_name_H-M 'I 4/m m m'
_symmetry_Int_Tables_number 139
_symmetry_space_group_name_Hall '-I 4 2'
_cell_length_a 5.524
_cell_length_b 5.524
_cell_length_c 7.737
_cell_angle_alpha 90.00
_cell_angle_beta 90.00
_cell_angle_gamma 90.00
loop_
_atom_site_label
_atom_site_type_symbol
_atom_site_fract_x
_atom_site_fract_y
_atom_site_fract_z
_atom_site_occupancy
Y1 Y 0.000 0.500 0.250 1
Sb1 Sb 0.000 0.000 0.000 1
Ru1 Ru 0.000 0.000 0.331 1
# * calculated volume: 118.1 Å³/f.u.



iv | # Y2SbRu2 | Alexandria via LeMat-Bulk | GGA-PBE | optimized geometry
data_Y2SbRu2
_chemical_formula_sum 'Y4 Sb2 Ru4'
_symmetry_space_group_name_H-M 'P 4/m b m'
_symmetry_Int_Tables_number 127
_symmetry_space_group_name_Hall '-P 4 2ab'
_cell_length_a 8.078
_cell_length_b 8.078
_cell_length_c 3.348
_cell_angle_alpha 90.00
_cell_angle_beta 90.00
_cell_angle_gamma 90.00
loop_
_atom_site_label
_atom_site_type_symbol
_atom_site_fract_x
_atom_site_fract_y
_atom_site_fract_z
_atom_site_occupancy
Y1 Y 0.142 0.358 0.000 1
Sb1 Sb 0.000 0.000 0.000 1
Ru1 Ru 0.160 0.660 0.500 1
# * calculated volume: 109.2 Å³/f.u.



Most stable pick: i. Distance to second place: 208 meV per atom.



i | # YSbRu3 | Alexandria via LeMat-Bulk | GGA-PBE | optimized geometry
data_YSbRu3
_chemical_formula_sum 'Y1 Sb1 Ru3'
_symmetry_space_group_name_H-M 'P m -3 m'
_symmetry_Int_Tables_number 221
_symmetry_space_group_name_Hall '-P 4 2 3'
_cell_length_a 4.851
_cell_length_b 4.851
_cell_length_c 4.851
_cell_angle_alpha 90.00
_cell_angle_beta 90.00
_cell_angle_gamma 90.00
loop_
_atom_site_label
_atom_site_type_symbol
_atom_site_fract_x
_atom_site_fract_y
_atom_site_fract_z
_atom_site_occupancy
Y1 Y 0.000 0.000 0.000 1
Sb1 Sb 0.500 0.500 0.500 1
Ru1 Ru 0.000 0.000 0.500 1
# * calculated volume: 114.1 Å³/f.u.



ii | # YSbRu3 | Alexandria via LeMat-Bulk | GGA-PBE | optimized geometry
data_YSbRu3
_chemical_formula_sum 'Y1 Sb1 Ru3'
_symmetry_space_group_name_H-M 'P m -3 m'
_symmetry_Int_Tables_number 221
_symmetry_space_group_name_Hall '-P 4 2 3'
_cell_length_a 4.803
_cell_length_b 4.803
_cell_length_c 4.803
_cell_angle_alpha 90.00
_cell_angle_beta 90.00
_cell_angle_gamma 90.00
loop_
_atom_site_label
_atom_site_type_symbol
_atom_site_fract_x
_atom_site_fract_y
_atom_site_fract_z
_atom_site_occupancy
Y1 Y 0.000 0.000 0.000 1
Sb1 Sb 0.500 0.500 0.500 1
Ru1 Ru 0.000 0.500 0.500 1
# * calculated volume: 110.8 Å³/f.u.



Most stable pick: ii. Distance to second place: 1063 meV per atom.



i | # ZnSbRu | Alexandria via LeMat-Bulk | GGA-PBE | optimized geometry
data_ZnSbRu
_chemical_formula_sum 'Zn1 Sb1 Ru1'
_symmetry_space_group_name_H-M 'P 3 m 1'
_symmetry_Int_Tables_number 156
_cell_length_a 3.1747
_cell_length_b 3.1747
_cell_length_c 6.4526
_cell_angle_alpha 90.00
_cell_angle_beta 90.00
_cell_angle_gamma 120.00
loop_
_symmetry_equiv_pos_as_xyz
'x,y,z'
'-y,x-y,z'
'-x+y,-x,z'
'-y,-x,z'
'-x+y,y,z'
'x,x-y,z'
loop_
_atom_site_label
_atom_site_type_symbol
_atom_site_fract_x
_atom_site_fract_y
_atom_site_fract_z
_atom_site_occupancy
Zn1 Zn 0.0000 0.0000 0.0000 1
Sb1 Sb 0.6667 0.3333 0.5894 1
Ru1 Ru 0.3333 0.6667 0.2939 1
# * calculated volume: 56.3 Å³/f.u.



ii | # ZnSbRu | Alexandria via LeMat-Bulk | GGA-PBE | optimized geometry
data_ZnSbRu
_chemical_formula_sum 'Zn2 Sb2 Ru2'
_symmetry_space_group_name_H-M 'I 4 m m'
_symmetry_Int_Tables_number 107
_symmetry_space_group_name_Hall 'I 4 -2'
_cell_length_a 3.442
_cell_length_b 3.442
_cell_length_c 8.452
_cell_angle_alpha 90.00
_cell_angle_beta 90.00
_cell_angle_gamma 90.00
loop_
_atom_site_label
_atom_site_type_symbol
_atom_site_fract_x
_atom_site_fract_y
_atom_site_fract_z
_atom_site_occupancy
Zn1 Zn 0.000 0.000 0.000 1
Sb1 Sb 0.000 0.000 0.320 1
Ru1 Ru 0.000 0.000 0.663 1
# * calculated volume: 50.1 Å³/f.u.



Most stable pick: ii. Distance to second place: 132 meV per atom.



i | # ZnSbRu | Alexandria via LeMat-Bulk | GGA-PBE | optimized geometry
data_ZnSbRu
_chemical_formula_sum 'Zn2 Sb2 Ru2'
_symmetry_space_group_name_H-M 'I 4 m m'
_symmetry_Int_Tables_number 107
_symmetry_space_group_name_Hall 'I 4 -2'
_cell_length_a 3.133
_cell_length_b 3.133
_cell_length_c 11.951
_cell_angle_alpha 90.00
_cell_angle_beta 90.00
_cell_angle_gamma 90.00
loop_
_atom_site_label
_atom_site_type_symbol
_atom_site_fract_x
_atom_site_fract_y
_atom_site_fract_z
_atom_site_occupancy
Zn1 Zn 0.000 0.000 0.000 1
Sb1 Sb 0.000 0.000 0.743 1
Ru1 Ru 0.000 0.000 0.376 1
# * calculated volume: 58.7 Å³/f.u.



ii | # ZnSbRu | Alexandria via LeMat-Bulk | GGA-PBE | optimized geometry
data_ZnSbRu
_chemical_formula_sum 'Zn1 Sb1 Ru1'
_symmetry_space_group_name_H-M 'P 3 m 1'
_symmetry_Int_Tables_number 156
_cell_length_a 4.4320
_cell_length_b 4.4320
_cell_length_c 3.2117
_cell_angle_alpha 90.00
_cell_angle_beta 90.00
_cell_angle_gamma 120.00
loop_
_symmetry_equiv_pos_as_xyz
'x,y,z'
'-y,x-y,z'
'-x+y,-x,z'
'-y,-x,z'
'-x+y,y,z'
'x,x-y,z'
loop_
_atom_site_label
_atom_site_type_symbol
_atom_site_fract_x
_atom_site_fract_y
_atom_site_fract_z
_atom_site_occupancy
Zn1 Zn 0.0000 0.0000 0.0000 1
Sb1 Sb 0.3333 0.6667 0.5002 1
Ru1 Ru 0.6667 0.3333 0.5112 1
# * calculated volume: 54.6 Å³/f.u.



Most stable pick: i. Distance to second place: 211 meV per atom.



i | # ZnSbRu | Alexandria via LeMat-Bulk | GGA-PBE | optimized geometry
data_ZnSbRu
_chemical_formula_sum 'Zn4 Sb4 Ru4'
_symmetry_space_group_name_H-M 'F -4 3 m'
_symmetry_Int_Tables_number 216
_symmetry_space_group_name_Hall 'F -4 2 3'
_cell_length_a 6.127
_cell_length_b 6.127
_cell_length_c 6.127
_cell_angle_alpha 90.00
_cell_angle_beta 90.00
_cell_angle_gamma 90.00
loop_
_atom_site_label
_atom_site_type_symbol
_atom_site_fract_x
_atom_site_fract_y
_atom_site_fract_z
_atom_site_occupancy
Zn1 Zn 0.000 0.000 0.000 1
Sb1 Sb 0.000 0.000 0.500 1
Ru1 Ru 0.250 0.250 0.750 1
# * calculated volume: 57.5 Å³/f.u.



ii | # ZnSbRu | Alexandria via LeMat-Bulk | GGA-PBE | optimized geometry
data_ZnSbRu
_chemical_formula_sum 'Zn4 Sb4 Ru4'
_symmetry_space_group_name_H-M 'F m m 2'
_symmetry_Int_Tables_number 42
_symmetry_space_group_name_Hall 'F 2 -2'
_cell_length_a 3.313
_cell_length_b 5.118
_cell_length_c 13.457
_cell_angle_alpha 90.00
_cell_angle_beta 90.00
_cell_angle_gamma 90.00
loop_
_atom_site_label
_atom_site_type_symbol
_atom_site_fract_x
_atom_site_fract_y
_atom_site_fract_z
_atom_site_occupancy
Zn1 Zn 0.000 0.000 0.000 1
Sb1 Sb 0.000 0.000 0.296 1
Ru1 Ru 0.000 0.000 0.643 1
# * calculated volume: 57.0 Å³/f.u.



Most stable pick: i. Distance to second place: 356 meV per atom.



i | # ZrSbRu3 | Alexandria via LeMat-Bulk | GGA-PBE | optimized geometry
data_ZrSbRu3
_chemical_formula_sum 'Zr1 Sb1 Ru3'
_symmetry_space_group_name_H-M 'P m -3 m'
_symmetry_Int_Tables_number 221
_symmetry_space_group_name_Hall '-P 4 2 3'
_cell_length_a 4.788
_cell_length_b 4.788
_cell_length_c 4.788
_cell_angle_alpha 90.00
_cell_angle_beta 90.00
_cell_angle_gamma 90.00
loop_
_atom_site_label
_atom_site_type_symbol
_atom_site_fract_x
_atom_site_fract_y
_atom_site_fract_z
_atom_site_occupancy
Zr1 Zr 0.000 0.000 0.000 1
Sb1 Sb 0.500 0.500 0.500 1
Ru1 Ru 0.000 0.000 0.500 1
# * calculated volume: 109.8 Å³/f.u.



ii | # ZrSbRu3 | Alexandria via LeMat-Bulk | GGA-PBE | optimized geometry
data_ZrSbRu3
_chemical_formula_sum 'Zr1 Sb1 Ru3'
_symmetry_space_group_name_H-M 'P m -3 m'
_symmetry_Int_Tables_number 221
_symmetry_space_group_name_Hall '-P 4 2 3'
_cell_length_a 4.726
_cell_length_b 4.726
_cell_length_c 4.726
_cell_angle_alpha 90.00
_cell_angle_beta 90.00
_cell_angle_gamma 90.00
loop_
_atom_site_label
_atom_site_type_symbol
_atom_site_fract_x
_atom_site_fract_y
_atom_site_fract_z
_atom_site_occupancy
Zr1 Zr 0.000 0.000 0.000 1
Sb1 Sb 0.500 0.500 0.500 1
Ru1 Ru 0.000 0.500 0.500 1
# * calculated volume: 105.5 Å³/f.u.



Most stable pick: ii. Distance to second place: 421 meV per atom.